1.
Density functional theory data (PBE-GGA) for a geometry-optimized LiSiI2 structure.

Geometry as POSCAR:
```
LiSiI2
1.0
0.000 3.782 3.782
3.782 0.000 3.782
3.782 3.782 0.000
Li Si I
1 1 2
Direct
0.000 0.000 0.000
0.500 0.500 0.500
0.250 0.250 0.250
0.750 0.750 0.750
```

Calculated values
* formation energy (no corrections): 0.05 eV/atom
* relative energy among the computed polymorphs: 0.145 eV/atom



2.
Density functional theory data (PBE-GGA) for a geometry-optimized CsKNb2 structure.

Geometry as POSCAR:
```
CsKNb2
1.0
-2.252 2.252 13.531
2.252 -2.252 13.531
2.252 2.252 -13.531
Cs K Nb
2 2 4
Direct
0.000 0.000 0.000
0.750 0.250 0.500
0.250 0.750 0.500
0.500 0.500 0.000
0.375 0.011 0.136
0.761 0.625 0.636
0.875 0.239 0.864
0.989 0.125 0.364
```

Calculated values
* relative energy among the computed polymorphs: 0.000 eV/atom
* DFT formation energy: 1.741 eV/atom



3.
Density functional theory data (PBE-GGA) for a geometry-optimized Cd3GaF structure.

Geometry as POSCAR:
```
Cd3GaF
1.0
5.116 0.000 0.000
0.000 5.116 0.000
0.000 0.000 5.116
Cd Ga F
3 1 1
Direct
0.000 0.000 0.500
0.000 0.500 0.000
0.500 0.000 0.000
0.000 0.000 0.000
0.500 0.500 0.500
```

Calculated values
* formation energy (no corrections): -0.26 eV/atom
* relative energy among the computed polymorphs: 0.005 eV/atom



4.
Density functional theory data (PBE-GGA) for a geometry-optimized Tc2HRuRh structure.

Geometry as POSCAR:
```
Tc2HRuRh
1.0
3.906 0.000 0.000
0.000 3.906 0.000
0.000 0.000 3.881
Tc H Ru Rh
2 1 1 1
Direct
0.000 0.500 0.000
0.500 0.000 0.000
0.000 0.000 0.000
0.500 0.500 0.500
0.000 0.000 0.500
```

Calculated values
* relative energy among the computed polymorphs: 0.010 eV/atom



Q: Which of these has the highest relative energy among the computed polymorphs?
A: LiSiI2



Q: The highest relative energy among the computed polymorphs belongs to which entry?
A: LiSiI2



Q: Among the records above, which one has the highest relative energy among the computed polymorphs?
A: LiSiI2